Record 1
Entry from the Alexandria database: crystalline Tm3Mg2Sc2 at its relaxed geometry (PBE).

Summary:
Energy of formation   0.01 eV per atom
Total DFT energy (no corrections)   -58.370 eV per cell

Cell lengths 5.033, 22.175, 3.357 Å; angles 90.00, 90.00, 90.00 degrees
Space group Cmmm (No. 65)
Symmetry-distinct sites (fractional):
Tm: 0.000 0.000 0.000
Tm: 0.000 0.154 0.000
Mg: 0.000 0.428 0.500
Sc: 0.000 0.285 0.500

---

Record 2
Entry from the Alexandria database: crystalline Rb2AsWCl6 at its relaxed geometry (PBE).

Summary:
Total DFT energy (no corrections)   -78.944 eV per cell
E_form (uncorrected)   -0.885 eV/atom

Cell lengths 7.155, 7.155, 12.030 Å; angles 90.00, 90.00, 90.00 degrees
Space group I4/mmm (No. 139)
Symmetry-distinct sites (fractional):
Rb: 0.000 0.500 0.250
As: 0.000 0.000 0.000
W: 0.000 0.000 0.500
Cl: 0.000 0.000 0.297
Cl: 0.243 0.243 0.500

---

Record 3
Entry from the Alexandria database: crystalline AsP3W at its relaxed geometry (PBE).

Summary:
Energy of formation   1.60 eV per atom
Total DFT energy (no corrections)   -25.816 eV per cell
Energy above the lowest structure with this stoichiometry   0.836 eV per atom

Cell lengths 4.511, 4.511, 4.511 Å; angles 90.00, 90.00, 90.00 degrees
Space group Pm-3m (No. 221)
Symmetry-distinct sites (fractional):
As: 0.000 0.000 0.000
P: 0.000 0.000 0.500
W: 0.500 0.500 0.500

---

Record 4
Entry from the Alexandria database: crystalline ScOsRu2 at its relaxed geometry (PBE).

Summary:
Energy of formation   0.01 eV per atom
Total DFT energy (no corrections)   -72.179 eV per cell
Energy above the lowest structure with this stoichiometry   0.072 eV per atom

Cell lengths 3.867, 3.867, 8.175 Å; angles 90.00, 90.00, 90.00 degrees
Space group I-4m2 (No. 119)
Symmetry-distinct sites (fractional):
Sc: 0.000 0.000 0.000
Os: 0.000 0.500 0.750
Ru: 0.000 0.000 0.500
Ru: 0.000 0.500 0.250

---

Record 5
Entry from the Alexandria database: crystalline In2PdPt at its relaxed geometry (PBE).

Summary:
Energy of formation   0.12 eV per atom
Total DFT energy (no corrections)   -32.469 eV per cell

Cell lengths 2.935, 5.168, 10.766 Å; angles 90.00, 90.00, 90.00 degrees
Space group Immm (No. 71)
Symmetry-distinct sites (fractional):
In: 0.000 0.000 0.249
Pd: 0.000 0.000 0.500
Pt: 0.000 0.000 0.000

---

Record 6
Entry from the Alexandria database: crystalline Ti2Be15Zn2 at its relaxed geometry (PBE).

Summary:
Energy of formation   -0.15 eV per atom
Total DFT energy (no corrections)   -231.419 eV per cell

Cell lengths 7.5293, 7.5293, 10.9836 Å; angles 90.00, 90.00, 120.00 degrees
Space group R-3m (No. 166, hexagonal axes)
Symmetry-distinct sites (fractional):
Ti: 0.0000 0.0000 0.1549
Be: 0.0000 0.3041 0.5000
Be: 0.0000 0.5000 0.0000
Be: 0.0115 0.5058 0.6565
Zn: 0.0000 0.0000 0.3928

---

Record 7
Entry from the Alexandria database: crystalline CeMoRu at its relaxed geometry (PBE).

Summary:
Energy of formation   0.58 eV per atom
Total DFT energy (no corrections)   -97.259 eV per cell

Cell lengths 5.234, 5.234, 9.826 Å; angles 90.00, 90.00, 90.00 degrees
Space group P4_12_12 (No. 92)
Symmetry-distinct sites (fractional):
Ce: 0.189 0.189 0.000
Mo: 0.138 0.138 0.500
Ru: 0.031 0.969 0.750

---

Record 8
Entry from the Alexandria database: crystalline Ni2MoC at its relaxed geometry (PBE).

Summary:
Energy of formation   0.12 eV per atom
Total DFT energy (no corrections)   -124.497 eV per cell

Cell lengths 10.036, 2.993, 6.194 Å; angles 90.00, 105.80, 90.00 degrees
Space group Cm (No. 8)
Symmetry-distinct sites (fractional):
Ni: 0.000 0.000 0.000
Ni: 0.032 0.000 0.608
Ni: 0.125 0.500 0.323
Ni: 0.204 0.500 0.913
Mo: 0.310 0.000 0.656
Mo: 0.356 0.000 0.224
C: 0.015 0.500 0.813
C: 0.328 0.500 0.431

---

Record 9
Entry from the Alexandria database: crystalline PmHoErAl at its relaxed geometry (PBE).

Summary:
Energy of formation   -0.05 eV per atom
Total DFT energy (no corrections)   -71.366 eV per cell
Energy above the lowest structure with this stoichiometry   0.146 eV per atom

Cell lengths 7.591, 7.591, 7.591 Å; angles 90.00, 90.00, 90.00 degrees
Space group F-43m (No. 216)
Symmetry-distinct sites (fractional):
Pm: 0.000 0.000 0.000
Ho: 0.250 0.250 0.250
Er: 0.000 0.000 0.500
Al: 0.250 0.250 0.750

---

Record 10
Entry from the Alexandria database: crystalline NdCu3Rh4O12 at its relaxed geometry (PBE).

Summary:
Total DFT energy (no corrections)   -252.881 eV per cell
E_form (uncorrected)   -1.024 eV/atom

Cell lengths 7.539, 7.539, 7.539 Å; angles 90.00, 90.00, 90.00 degrees
Space group Im-3 (No. 204)
Symmetry-distinct sites (fractional):
Nd: 0.000 0.000 0.000
Cu: 0.000 0.000 0.500
Rh: 0.250 0.250 0.250
O: 0.000 0.305 0.164

---

Record 11
Entry from the Alexandria database: crystalline Tm5Ga2Bi2 at its relaxed geometry (PBE).

Summary:
Energy of formation   -0.68 eV per atom
Total DFT energy (no corrections)   -169.238 eV per cell

Cell lengths 15.390, 7.891, 7.911 Å; angles 90.00, 90.00, 90.00 degrees
Space group Cmce (No. 64)
Symmetry-distinct sites (fractional):
Tm: 0.000 0.000 0.000
Tm: 0.125 0.168 0.332
Ga: 0.000 0.129 0.627
Bi: 0.208 0.000 0.000

---

Record 12
Entry from the Alexandria database: crystalline K2Se2S5 at its relaxed geometry (PBE).

Summary:
Total DFT energy (no corrections)   -64.188 eV per cell
E_form (uncorrected)   -0.255 eV/atom

Cell lengths 15.234, 4.908, 7.993 Å; angles 90.00, 110.98, 90.00 degrees
Space group C2/m (No. 12)
Symmetry-distinct sites (fractional):
K: 0.054 0.000 0.299
Se: 0.154 0.500 0.934
S: 0.000 0.500 0.000
S: 0.090 0.500 0.644
S: 0.172 0.000 0.025

---

Record 13
Entry from the Alexandria database: crystalline TmGe4Rh6 at its relaxed geometry (PBE).

Summary:
Energy of formation   -0.74 eV per atom
Total DFT energy (no corrections)   -75.201 eV per cell

Cell lengths 7.2280, 7.2280, 3.8097 Å; angles 90.00, 90.00, 120.00 degrees
Space group P-6m2 (No. 187)
Symmetry-distinct sites (fractional):
Tm: 0.0000 0.0000 0.0000
Ge: 0.3333 0.6667 0.0000
Ge: 0.3923 0.1962 0.5000
Rh: 0.1971 0.3943 0.5000
Rh: 0.5335 0.0670 0.0000

---

Record 14
Entry from the Alexandria database: crystalline NaGeAs3 at its relaxed geometry (PBE).

Summary:
Energy of formation   1.10 eV per atom
Total DFT energy (no corrections)   -14.383 eV per cell
Energy above the lowest structure with this stoichiometry   1.270 eV per atom

Cell lengths 4.994, 4.994, 4.994 Å; angles 90.00, 90.00, 90.00 degrees
Space group Pm-3m (No. 221)
Symmetry-distinct sites (fractional):
Na: 0.000 0.000 0.000
Ge: 0.500 0.500 0.500
As: 0.000 0.000 0.500

---

Record 15
Entry from the Alexandria database: crystalline TbDyTm2Sc4 at its relaxed geometry (PBE).

Summary:
Energy of formation   0.45 eV per atom
Total DFT energy (no corrections)   -159.602 eV per cell

Cell lengths 6.490, 11.216, 12.643 Å; angles 90.00, 90.00, 90.00 degrees
Space group Imma (No. 74)
Symmetry-distinct sites (fractional):
Tb: 0.000 0.000 0.000
Dy: 0.250 0.250 0.250
Tm: 0.000 0.000 0.500
Tm: 0.250 0.250 0.750
Sc: 0.000 0.001 0.748
Sc: 0.249 0.250 0.502

---

Record 16
Entry from the Alexandria database: crystalline TbPr4Tm5 at its relaxed geometry (PBE).

Summary:
Energy of formation   0.20 eV per atom
Total DFT energy (no corrections)   -88.269 eV per cell
Energy above the lowest structure with this stoichiometry   0.174 eV per atom

Cell lengths 17.075, 3.518, 11.366 Å; angles 90.00, 90.16, 90.00 degrees
Space group C2/m (No. 12)
Symmetry-distinct sites (fractional):
Tb: 0.000 0.000 0.000
Pr: 0.034 0.500 0.749
Pr: 0.160 0.000 0.250
Tm: 0.000 0.000 0.500
Tm: 0.172 0.500 0.544
Tm: 0.173 0.500 0.953

---

Record 17
Entry from the Alexandria database: crystalline Cr2Pb at its relaxed geometry (PBE).

Summary:
Energy of formation   0.89 eV per atom
Total DFT energy (no corrections)   -81.083 eV per cell
Energy above the lowest structure with this stoichiometry   0.464 eV per atom

Cell lengths 6.026, 6.026, 5.876 Å; angles 90.00, 90.00, 90.00 degrees
Space group I4/mcm (No. 140)
Symmetry-distinct sites (fractional):
Cr: 0.108 0.392 0.000
Pb: 0.000 0.000 0.250

---

Record 18
Entry from the Alexandria database: crystalline RbNaNb2Zn at its relaxed geometry (PBE).

Summary:
Energy of formation   2.19 eV per atom
Total DFT energy (no corrections)   -12.774 eV per cell

Cell lengths 5.125, 5.125, 5.717 Å; angles 90.00, 90.00, 90.00 degrees
Space group P4/mmm (No. 123)
Symmetry-distinct sites (fractional):
Rb: 0.000 0.000 0.000
Na: 0.000 0.000 0.500
Nb: 0.000 0.500 0.500
Zn: 0.500 0.500 0.000

---

Record 19
Entry from the Alexandria database: crystalline Li3TaF6 at its relaxed geometry (PBE).

Summary:
Total DFT energy (no corrections)   -214.746 eV per cell
Energy above the lowest structure with this stoichiometry   0.207 eV per atom
E_form (uncorrected)   -2.486 eV/atom

Cell lengths 8.070, 8.070, 8.070 Å; angles 90.00, 90.00, 90.00 degrees
Space group Fm-3m (No. 225)
Symmetry-distinct sites (fractional):
Li: 0.000 0.000 0.000
Li: 0.250 0.250 0.250
Ta: 0.000 0.000 0.500
F: 0.000 0.000 0.245

---

Record 20
Entry from the Alexandria database: crystalline Mn2AsOs at its relaxed geometry (PBE).

Summary:
Energy of formation   0.18 eV per atom
Total DFT energy (no corrections)   -67.028 eV per cell

Cell lengths 3.832, 3.832, 7.086 Å; angles 90.00, 90.00, 90.00 degrees
Space group I-4m2 (No. 119)
Symmetry-distinct sites (fractional):
Mn: 0.000 0.000 0.000
Mn: 0.000 0.500 0.250
As: 0.000 0.000 0.500
Os: 0.000 0.500 0.750

---

Record 21
Entry from the Alexandria database: crystalline TiZnCoP2 at its relaxed geometry (PBE).

Summary:
Energy of formation   0.33 eV per atom
Total DFT energy (no corrections)   -25.430 eV per cell

Cell lengths 4.298, 4.298, 4.381 Å; angles 90.00, 90.00, 90.00 degrees
Space group P4/mmm (No. 123)
Symmetry-distinct sites (fractional):
Ti: 0.000 0.000 0.000
Zn: 0.500 0.500 0.000
Co: 0.500 0.500 0.500
P: 0.000 0.500 0.500

---

Record 22
Entry from the Alexandria database: crystalline MgNbBr2 at its relaxed geometry (PBE).

Summary:
Total DFT energy (no corrections)   -54.616 eV per cell
Energy above the lowest structure with this stoichiometry   0.658 eV per atom
E_form (uncorrected)   0.339 eV/atom

Cell lengths 6.806, 6.806, 10.867 Å; angles 90.00, 90.00, 90.00 degrees
Space group I-42d (No. 122)
Symmetry-distinct sites (fractional):
Mg: 0.000 0.000 0.000
Nb: 0.000 0.000 0.500
Br: 0.239 0.250 0.125

---

Record 23
Entry from the Alexandria database: crystalline NbRu3Pt at its relaxed geometry (PBE).

Summary:
Energy of formation   1.65 eV per atom
Total DFT energy (no corrections)   -35.681 eV per cell
Energy above the lowest structure with this stoichiometry   0.677 eV per atom

Cell lengths 4.648, 4.648, 4.648 Å; angles 90.00, 90.00, 90.00 degrees
Space group Pm-3m (No. 221)
Symmetry-distinct sites (fractional):
Nb: 0.000 0.000 0.000
Ru: 0.000 0.000 0.500
Pt: 0.500 0.500 0.500

---

We obtain density of states at the Fermi level values of 1.104 0.109 1.331 1.396 0.635 0.299 1.397 0.709 1.699 0.490 0.601 0.041 0.318 0.660 2.135 1.370 0.594 1.130 1.060 0.768 1.430 0.774 0.821 states/eV per atom for the records listed above, in that order.